[1]
{"formula": "Pm4PrHoSe8", "functional": "PBE-GGA", "state": "optimized geometry", "dft_energy_ev_per_cell": -80.4, "lattice": [[4.3076, 2.4870, 7.0540], [-4.3076, 2.4870, 7.0540], [0.0000, -4.9740, 7.0540]], "species": ["Pm", "Pm", "Pm", "Pm", "Pr", "Ho", "Se", "Se", "Se", "Se", "Se", "Se", "Se", "Se"], "fractional_positions": [[0.0000, 0.0000, 0.0000], [0.1294, 0.6242, 0.6242], [0.6242, 0.1294, 0.6242], [0.6242, 0.6242, 0.1294], [0.6241, 0.6241, 0.6241], [0.2509, 0.2509, 0.2509], [0.3769, 0.3769, 0.8645], [0.3769, 0.8645, 0.3769], [0.3800, 0.3800, 0.3800], [0.3981, 0.8700, 0.8700], [0.8645, 0.3769, 0.3769], [0.8671, 0.8671, 0.8671], [0.8700, 0.3981, 0.8700], [0.8700, 0.8700, 0.3981]]}

***

[2]
{"formula": "PmGdOs", "functional": "PBE-GGA", "state": "optimized geometry", "dft_energy_ev_per_cell": -30.4, "relative_energy_ev_per_atom": 0.000, "lattice": [[0.0000, 3.4331, 3.4331], [3.4331, 0.0000, 3.4331], [3.4331, 3.4331, 0.0000]], "species": ["Pm", "Gd", "Os"], "fractional_positions": [[0.0000, 0.0000, 0.0000], [0.5000, 0.5000, 0.5000], [0.7500, 0.7500, 0.7500]]}

***

[3]
{"formula": "AcThGe", "functional": "PBE-GGA", "state": "optimized geometry", "dft_energy_ev_per_cell": -16.6, "relative_energy_ev_per_atom": 0.173, "lattice": [[4.9945, 0.0000, 0.0000], [-2.4973, 4.3254, 0.0000], [0.0000, 0.0000, 4.5281]], "species": ["Ac", "Th", "Ge"], "fractional_positions": [[0.0000, 0.0000, 0.0000], [0.6667, 0.3333, 0.4833], [0.3333, 0.6667, 0.6255]]}

***

[4]
{"formula": "Pm2ZrH", "functional": "PBE-GGA", "state": "optimized geometry", "dft_energy_ev_per_cell": -20.8, "relative_energy_ev_per_atom": 0.042, "lattice": [[1.6668, 0.9623, 9.4380], [-1.6668, 0.9623, 9.4380], [0.0000, -1.9246, 9.4380]], "species": ["Pm", "Pm", "Zr", "H"], "fractional_positions": [[0.1125, 0.1125, 0.1125], [0.8875, 0.8875, 0.8875], [0.0000, 0.0000, 0.0000], [0.5000, 0.5000, 0.5000]]}